1.
## Ho15Tm4In (PBE)

Data for Ho15Tm4In after structural relaxation.

Geometry as POSCAR:
```
Ho15Tm4In
1.0
4.924 0.000 0.000
0.000 4.924 0.000
0.000 0.000 24.910
Ho Tm In
15 4 1
Cartesian
0.000 0.000 0.000
0.000 0.000 4.887
0.000 0.000 9.933
0.000 0.000 14.977
0.000 0.000 20.023
0.000 2.462 2.425
0.000 2.462 7.436
0.000 2.462 12.455
0.000 2.462 17.473
0.000 2.462 22.485
2.462 0.000 2.425
2.462 0.000 7.436
2.462 0.000 12.455
2.462 0.000 17.473
2.462 0.000 22.485
2.462 2.462 4.940
2.462 2.462 9.945
2.462 2.462 14.964
2.462 2.462 19.969
2.462 2.462 0.000
```

DOS at the Fermi energy   1.1808 states/eV per atom
Energy relative to the elements   -3.1 kJ per mole of atoms

***

2.
## Ho2Tm4In (PBE)

Data for Ho2Tm4In after structural relaxation.

Geometry as POSCAR:
```
Ho2Tm4In
1.0
0.000 10.808 3.874
5.055 0.000 3.874
5.055 10.808 0.000
Ho Tm In
4 8 2
Cartesian
5.414 5.675 3.874
7.223 11.079 5.811
4.695 15.941 3.874
2.887 10.537 5.811
2.132 2.883 0.721
2.923 7.925 0.721
4.964 9.060 3.276
5.146 12.556 3.276
7.673 14.464 5.213
5.450 8.287 6.533
7.491 17.960 5.213
4.659 13.329 6.533
5.055 10.808 0.602
2.527 5.404 2.539
```

DOS at the Fermi energy   1.4360 states/eV per atom
Energy relative to the elements   -3.7 kJ per mole of atoms

***

3.
## HoTm7In4 (PBE)

Data for HoTm7In4 after structural relaxation.

Geometry as POSCAR:
```
HoTm7In4
1.0
7.200 -2.805 0.000
7.200 2.805 0.000
-5.667 0.000 8.517
Ho Tm In
1 7 4
Cartesian
0.000 0.000 0.000
-1.332 0.000 3.408
-1.924 0.000 7.471
2.072 0.000 2.814
7.200 0.000 0.000
6.662 0.000 5.702
10.657 0.000 1.046
10.066 0.000 5.108
0.833 0.000 5.654
4.936 0.000 2.102
3.798 0.000 6.415
7.901 0.000 2.863
```

DOS at the Fermi energy   1.0048 states/eV per atom
Energy relative to the elements   -5.7 kJ per mole of atoms

***

4.
## Ho12TmIn3 (PBE)

Data for Ho12TmIn3 after structural relaxation.

Geometry as POSCAR:
```
Ho12TmIn3
1.0
4.839 0.000 0.000
0.000 4.839 0.000
0.000 0.000 19.638
Ho Tm In
12 1 3
Cartesian
0.000 0.000 0.000
0.000 0.000 4.828
0.000 0.000 9.819
0.000 0.000 14.810
0.000 2.419 2.417
0.000 2.419 7.277
0.000 2.419 12.361
0.000 2.419 17.220
2.419 0.000 2.417
2.419 0.000 7.277
2.419 0.000 12.361
2.419 0.000 17.220
2.419 2.419 9.819
2.419 2.419 0.000
2.419 2.419 4.798
2.419 2.419 14.839
```

DOS at the Fermi energy   1.1958 states/eV per atom
Energy relative to the elements   -18.4 kJ per mole of atoms